--- a ---
Computed, not measured: an optimized crystal structure of HgMo2P at the GGA-PBE level of DFT.

Cell: 4.4727 3.0338 10.3018 Å, 90.00 90.00 90.00°
Sites, in units of the cell vectors:
Hg 0.0000 0.0000 0.0000
Hg 0.0000 0.5000 0.5000
Mo 0.0000 0.0000 0.2639
Mo 0.0000 0.5000 0.7639
Mo 0.5000 0.0000 0.6495
Mo 0.5000 0.5000 0.1495
P 0.5000 0.0000 0.3337
P 0.5000 0.5000 0.8337

Values from the calculation:
- spin magnetization (μB/f.u.) = 0.00


--- b ---
Computed, not measured: an optimized crystal structure of HgMo2P at the GGA-PBE level of DFT.

Cell: 6.4573 6.4573 6.4573 Å, 90.00 90.00 90.00°
Sites, in units of the cell vectors:
Hg 0.0000 0.0000 0.0000
Hg 0.0000 0.5000 0.5000
Hg 0.5000 0.0000 0.5000
Hg 0.5000 0.5000 0.0000
Mo 0.0000 0.0000 0.5000
Mo 0.0000 0.5000 0.0000
Mo 0.2500 0.2500 0.2500
Mo 0.2500 0.7500 0.7500
Mo 0.5000 0.0000 0.0000
Mo 0.5000 0.5000 0.5000
Mo 0.7500 0.2500 0.7500
Mo 0.7500 0.7500 0.2500
P 0.2500 0.2500 0.7500
P 0.2500 0.7500 0.2500
P 0.7500 0.2500 0.2500
P 0.7500 0.7500 0.7500

Values from the calculation:
- spin magnetization (μB/f.u.) = 0.37


--- c ---
Computed, not measured: an optimized crystal structure of HgMo2P at the GGA-PBE level of DFT.

Cell: 3.0803 3.4416 6.4039 Å, 90.00 100.12 90.00°
Sites, in units of the cell vectors:
Hg 0.0000 0.0000 0.0000
Mo 0.3850 0.5000 0.6959
Mo 0.6150 0.5000 0.3041
P 0.0000 0.0000 0.5000

Values from the calculation:
- spin magnetization (μB/f.u.) = 0.00


--- d ---
Computed, not measured: an optimized crystal structure of HgMo2P at the GGA-PBE level of DFT.

Cell: 5.6177 8.6378 2.8951 Å, 90.00 109.44 90.00°
Sites, in units of the cell vectors:
Hg 0.0000 0.0000 0.0000
Hg 0.5000 0.5000 0.0000
Mo 0.2500 0.2500 0.5000
Mo 0.2500 0.7500 0.5000
Mo 0.7500 0.2500 0.5000
Mo 0.7500 0.7500 0.5000
P 0.0000 0.5000 0.0000
P 0.5000 0.0000 0.0000

Values from the calculation:
- spin magnetization (μB/f.u.) = 0.00


Most stable pick: c. Distance to second place: 0.050 eV/atom.


--- a ---
Computed, not measured: an optimized crystal structure of HgMo2P at the GGA-PBE level of DFT.

Cell: 3.2775 4.4078 4.6160 Å, 90.00 90.00 90.00°
Sites, in units of the cell vectors:
Hg 0.0000 0.0000 0.0000
Mo 0.0000 0.5000 0.5000
Mo 0.5000 0.5000 0.0000
P 0.5000 0.0000 0.5000

Values from the calculation:
- spin magnetization (μB/f.u.) = 0.00


--- b ---
Computed, not measured: an optimized crystal structure of HgMo2P at the GGA-PBE level of DFT.

Cell: 3.1438 3.1438 6.9909 Å, 90.00 90.00 90.00°
Sites, in units of the cell vectors:
Hg 0.0000 0.0000 0.0000
Mo 0.0000 0.0000 0.5311
Mo 0.5000 0.5000 0.2916
P 0.5000 0.5000 0.6775

Values from the calculation:
- spin magnetization (μB/f.u.) = 0.00


Most stable pick: b. Distance to second place: 0.503 eV/atom.


--- a ---
Computed, not measured: an optimized crystal structure of HgMo2P at the GGA-PBE level of DFT.

Cell: 6.3350 6.3350 6.3350 Å, 90.00 90.00 90.00°
Sites, in units of the cell vectors:
Hg 0.0000 0.0000 0.0000
Hg 0.0000 0.5000 0.5000
Hg 0.5000 0.0000 0.5000
Hg 0.5000 0.5000 0.0000
Mo 0.2500 0.2500 0.2500
Mo 0.2500 0.2500 0.7500
Mo 0.2500 0.7500 0.2500
Mo 0.2500 0.7500 0.7500
Mo 0.7500 0.2500 0.2500
Mo 0.7500 0.2500 0.7500
Mo 0.7500 0.7500 0.2500
Mo 0.7500 0.7500 0.7500
P 0.0000 0.0000 0.5000
P 0.0000 0.5000 0.0000
P 0.5000 0.0000 0.0000
P 0.5000 0.5000 0.5000

Values from the calculation:
- spin magnetization (μB/f.u.) = 0.00


--- b ---
Computed, not measured: an optimized crystal structure of HgMo2P at the GGA-PBE level of DFT.

Cell: 3.3871 4.8265 8.1706 Å, 90.00 90.00 90.00°
Sites, in units of the cell vectors:
Hg 0.0000 0.0000 0.0000
Hg 0.5000 0.5000 0.5000
Mo 0.0000 0.5000 0.1972
Mo 0.0000 0.5000 0.8028
Mo 0.5000 0.0000 0.3028
Mo 0.5000 0.0000 0.6972
P 0.0000 0.0000 0.5000
P 0.5000 0.5000 0.0000

Values from the calculation:
- spin magnetization (μB/f.u.) = 0.00


Most stable pick: b. Distance to second place: 0.240 eV/atom.